Here is crystalline CePm3B4O12 at its relaxed geometry from Alexandria via LeMat-Bulk. Energies are from PBE.

Computed properties:
Magnetization (μB/f.u.): 1.0
Total DFT energy (no corrections) (eV/atom): -8.3123

abc: 10.3461 10.3461 8.8638
angles: 90.00 90.00 120.00
Closest atoms and distances in Å follow each position.
Space group R32 (No. 155, hexagonal axes)
Inequivalent atoms, fractional coordinates:
Ce1 0.0000 0.0000 0.0000 (multiplicity 3)  6 O 2.50
Pm1 0.0000 0.5281 0.0000 (multiplicity 9)  6 O 2.35-2.36
B1 0.0000 0.0000 0.5000 (multiplicity 3)  3 O 1.38
B2 0.0000 0.4706 0.5000 (multiplicity 9)  3 O 1.38-1.39
O1 0.0000 0.6039 0.5000 (multiplicity 9)  1 B 1.38
O2 0.0000 0.8665 0.5000 (multiplicity 9)  1 B 1.38
O3 0.0045 0.1967 0.8328 (multiplicity 18)  1 B 1.39